Computed, not measured: a relaxed TiBiAu crystal at the PBE level of DFT.

Properties
**V**: 22.15 Å³/atom
**Total moment**: 0.0 μB per formula unit
**Uncorrected energy**: -5.1056 eV/atom
**Fermi-level density of states**: 2.95 states/eV/f.u.

```
3
Lattice="-1.601 1.601 6.477 1.601 -1.601 6.477 1.601 1.601 -6.477" Properties=species:S:1:pos:R:3 pbc="T T T"
Ti 0.000 0.000 0.000
Bi 0.000 0.000 4.297
Au 0.000 0.000 8.103
```

=====

Computed, not measured: a relaxed TiBiAu crystal at the PBE level of DFT.

Properties
**V**: 23.87 Å³/atom
**Total moment**: 0.0 μB per formula unit
**Uncorrected energy**: -5.0586 eV/atom
**Fermi-level density of states**: 2.10 states/eV/f.u.

```
6
Lattice="4.684 -4.936 0.000 4.684 4.936 0.000 0.000 0.000 3.098" Properties=species:S:1:pos:R:3 pbc="T T T"
Ti 2.342 2.468 0.000
Ti 2.342 -2.468 0.000
Bi 2.342 0.000 1.549
Bi 7.025 0.000 1.549
Au 4.684 2.468 1.554
Au 4.684 -2.468 1.543
```

=====

Computed, not measured: a relaxed TiBi2Au crystal at the PBE level of DFT.

Properties
**V**: 23.85 Å³/atom
**Total moment**: 0.0 μB per formula unit
**Uncorrected energy**: -4.5108 eV/atom
**Fermi-level density of states**: 5.95 states/eV/f.u.

```
4
Lattice="0.000 3.627 3.627 3.627 0.000 3.627 3.627 3.627 0.000" Properties=species:S:1:pos:R:3 pbc="T T T"
Ti 0.000 0.000 0.000
Bi 1.813 1.813 1.813
Bi 5.440 5.440 5.440
Au 3.627 3.627 3.627
```

=====

Computed, not measured: a relaxed TiBiAu2 crystal at the PBE level of DFT.

Properties
**V**: 20.96 Å³/atom
**Total moment**: 0.9 μB per formula unit
**Uncorrected energy**: -4.7734 eV/atom
**Fermi-level density of states**: 3.15 states/eV/f.u.

```
4
Lattice="3.234 0.000 0.000 0.000 3.234 0.000 0.000 0.000 8.018" Properties=species:S:1:pos:R:3 pbc="T T T"
Ti 0.000 0.000 0.000
Bi 0.000 0.000 4.009
Au 1.617 1.617 1.654
Au 1.617 1.617 6.363
```

=====

Computed, not measured: a relaxed Ti2Bi2Au crystal at the PBE level of DFT.

Properties
**V**: 22.54 Å³/atom
**Total moment**: 0.0 μB per formula unit
**Uncorrected energy**: -5.2531 eV/atom
**Fermi-level density of states**: 5.80 states/eV/f.u.

```
10
Lattice="7.903 0.000 0.000 0.000 7.903 0.000 0.000 0.000 3.609" Properties=species:S:1:pos:R:3 pbc="T T T"
Ti 1.041 2.910 0.000
Ti 2.910 6.862 0.000
Ti 4.992 1.041 0.000
Ti 6.862 4.992 0.000
Bi 1.273 5.224 1.805
Bi 2.679 1.273 1.805
Bi 5.224 6.630 1.805
Bi 6.630 2.679 1.805
Au 0.000 0.000 1.805
Au 3.951 3.951 1.805
```

=====

Computed, not measured: a relaxed Ti2Bi2Au crystal at the PBE level of DFT.

Properties
**V**: 21.93 Å³/atom
**Total moment**: 0.0 μB per formula unit
**Uncorrected energy**: -5.4626 eV/atom
**Fermi-level density of states**: 5.13 states/eV/f.u.

```
10
Lattice="7.435 0.000 0.000 0.000 7.435 0.000 0.000 0.000 3.967" Properties=species:S:1:pos:R:3 pbc="T T T"
Ti 1.015 2.702 0.000
Ti 2.702 6.419 0.000
Ti 4.733 1.015 0.000
Ti 6.419 4.733 0.000
Bi 1.220 4.937 1.984
Bi 2.498 1.220 1.984
Bi 4.937 6.215 1.984
Bi 6.215 2.498 1.984
Au 0.000 0.000 0.000
Au 3.717 3.717 0.000
```

=====

Computed, not measured: a relaxed Ti6BiAu crystal at the PBE level of DFT.

Properties
**V**: 17.83 Å³/atom
**Total moment**: 0.0 μB per formula unit
**Uncorrected energy**: -6.9741 eV/atom
**Fermi-level density of states**: 7.33 states/eV/f.u.

```
8
Lattice="5.840 0.000 0.000 -2.920 5.057 0.000 0.000 0.000 4.828" Properties=species:S:1:pos:R:3 pbc="T T T"
Ti -1.442 2.539 0.000
Ti 0.000 1.710 2.414
Ti -1.439 4.202 2.414
Ti 1.442 2.539 0.000
Ti 0.000 5.037 0.000
Ti 1.439 4.202 2.414
Bi 2.920 1.686 2.414
Au 0.000 0.000 0.000
```

=====

Computed, not measured: a relaxed Ti5Bi2Au crystal at the PBE level of DFT.

Properties
**V**: 22.90 Å³/atom
**Total moment**: 0.0 μB per formula unit
**Uncorrected energy**: -6.1144 eV/atom
**Fermi-level density of states**: 8.32 states/eV/f.u.

```
16
Lattice="2.266 -6.742 0.000 2.266 6.742 0.000 0.000 0.000 11.995" Properties=species:S:1:pos:R:3 pbc="T T T"
Ti 2.266 5.012 7.570
Ti 2.266 5.012 10.423
Ti 2.266 2.880 2.999
Ti 2.266 2.635 6.084
Ti 2.266 2.635 11.908
Ti 2.266 -2.635 0.087
Ti 2.266 -2.635 5.911
Ti 2.266 -2.880 8.996
Ti 2.266 -5.012 1.572
Ti 2.266 -5.012 4.425
Bi 2.266 5.570 1.336
Bi 2.266 5.570 4.661
Bi 2.266 -5.570 7.334
Bi 2.266 -5.570 10.658
Au 2.266 2.451 8.996
Au 2.266 -2.451 2.999
```

=====

Computed, not measured: a relaxed TiBiAu crystal at the PBE level of DFT.

Properties
**V**: 22.48 Å³/atom
**Total moment**: 0.0 μB per formula unit
**Uncorrected energy**: -5.0900 eV/atom
**Fermi-level density of states**: 0.55 states/eV/f.u.

```
3
Lattice="4.441 0.000 0.000 -2.220 3.846 0.000 0.000 0.000 3.949" Properties=species:S:1:pos:R:3 pbc="T T T"
Ti 0.000 0.000 0.000
Bi 0.000 2.564 2.157
Au 2.220 1.282 0.630
```

=====

Computed, not measured: a relaxed Ti2BiAu crystal at the PBE level of DFT.

Properties
**V**: 20.95 Å³/atom
**Total moment**: 0.0 μB per formula unit
**Uncorrected energy**: -5.6937 eV/atom
**Fermi-level density of states**: 4.71 states/eV/f.u.

```
8
Lattice="-3.758 3.758 2.967 3.758 -3.758 2.967 3.758 3.758 -2.967" Properties=species:S:1:pos:R:3 pbc="T T T"
Ti 1.879 1.738 -0.742
Ti 2.020 -1.879 3.709
Ti 1.879 2.020 2.225
Ti 1.738 5.637 0.742
Bi 3.758 0.000 1.483
Bi 0.000 0.000 2.967
Au 0.000 0.000 0.000
Au 0.000 3.758 1.483
```

=====

Computed, not measured: a relaxed TiBi2Au crystal at the PBE level of DFT.

Properties
**V**: 25.41 Å³/atom
**Total moment**: 0.0 μB per formula unit
**Uncorrected energy**: -4.6363 eV/atom
**Fermi-level density of states**: 2.97 states/eV/f.u.

```
4
Lattice="1.736 1.002 9.742 -1.736 1.002 9.742 0.000 -2.004 9.742" Properties=species:S:1:pos:R:3 pbc="T T T"
Ti 0.000 0.000 0.000
Bi 0.000 0.000 11.863
Bi 0.000 0.000 17.363
Au 0.000 0.000 14.613
```

=====

Computed, not measured: a relaxed Ti2BiAu crystal at the PBE level of DFT.

Properties
**V**: 19.56 Å³/atom
**Total moment**: 0.0 μB per formula unit
**Uncorrected energy**: -5.8393 eV/atom
**Fermi-level density of states**: 4.32 states/eV/f.u.

```
4
Lattice="3.598 0.000 0.000 0.000 3.598 0.000 0.000 0.000 6.042" Properties=species:S:1:pos:R:3 pbc="T T T"
Ti 0.000 0.000 1.426
Ti 0.000 0.000 4.616
Bi 1.799 1.799 3.021
Au 1.799 1.799 0.000
```

=====

Computed, not measured: a relaxed Tl2BiAu3 crystal at the PBE level of DFT.

Properties
**V**: 26.35 Å³/atom
**Total moment**: 0.0 μB per formula unit
**Uncorrected energy**: -3.1219 eV/atom
**Fermi-level density of states**: 2.12 states/eV/f.u.

```
12
Lattice="6.963 -4.053 0.000 6.963 4.053 0.000 0.000 0.000 5.601" Properties=species:S:1:pos:R:3 pbc="T T T"
Tl 4.635 2.679 4.201
Tl 9.290 2.679 4.201
Tl 4.635 -2.679 1.400
Tl 9.290 -2.679 1.400
Bi 6.963 1.428 1.400
Bi 6.963 -1.428 4.201
Au 0.000 0.000 0.000
Au 0.000 0.000 2.801
Au 4.682 0.000 0.000
Au 4.682 0.000 2.801
Au 9.244 0.000 0.000
Au 9.244 0.000 2.801
```

=====

Computed, not measured: a relaxed Tl2Bi2Au crystal at the PBE level of DFT.

Properties
**V**: 30.85 Å³/atom
**Total moment**: 0.0 μB per formula unit
**Uncorrected energy**: -2.8853 eV/atom
**Fermi-level density of states**: 2.91 states/eV/f.u.

```
5
Lattice="-2.109 2.109 8.669 2.109 -2.109 8.669 2.109 2.109 -8.669" Properties=species:S:1:pos:R:3 pbc="T T T"
Tl 2.109 0.000 4.334
Tl 0.000 2.109 4.334
Bi 0.000 0.000 1.467
Bi 0.000 0.000 15.870
Au 0.000 0.000 8.669
```

=====

Computed, not measured: a relaxed Tl8BiAu2 crystal at the PBE level of DFT.

Properties
**V**: 29.44 Å³/atom
**Total moment**: 0.0 μB per formula unit
**Uncorrected energy**: -2.6818 eV/atom
**Fermi-level density of states**: 4.74 states/eV/f.u.

```
11
Lattice="8.917 -2.567 0.000 8.917 2.567 0.000 -3.283 0.000 7.073" Properties=species:S:1:pos:R:3 pbc="T T T"
Tl -0.261 0.000 1.856
Tl 0.751 0.000 5.546
Tl 3.947 0.000 3.823
Tl 7.162 0.000 0.167
Tl 7.390 0.000 6.906
Tl 10.604 0.000 3.250
Tl 13.801 0.000 1.527
Tl 14.813 0.000 5.217
Bi 7.276 0.000 3.537
Au 2.731 0.000 1.149
Au 11.821 0.000 5.924
```

=====

Computed, not measured: a relaxed TlBi2Au2 crystal at the PBE level of DFT.

Properties
**V**: 26.74 Å³/atom
**Total moment**: 0.0 μB per formula unit
**Uncorrected energy**: -3.2655 eV/atom
**Fermi-level density of states**: 3.75 states/eV/f.u.

```
10
Lattice="8.942 0.000 0.000 0.000 8.942 0.000 0.000 0.000 3.344" Properties=species:S:1:pos:R:3 pbc="T T T"
Tl 0.000 0.000 0.000
Tl 4.471 4.471 0.000
Bi 1.240 3.231 0.000
Bi 3.231 7.702 0.000
Bi 5.711 1.240 0.000
Bi 7.702 5.711 0.000
Au 1.446 5.918 1.672
Au 3.025 1.446 1.672
Au 5.918 7.496 1.672
Au 7.496 3.025 1.672
```

=====

Computed, not measured: a relaxed TlBi3Au crystal at the PBE level of DFT.

Properties
**V**: 31.69 Å³/atom
**Total moment**: 0.0 μB per formula unit
**Uncorrected energy**: -3.4408 eV/atom
**Fermi-level density of states**: 2.10 states/eV/f.u.

```
20
Lattice="7.271 0.000 0.000 0.000 11.687 0.000 0.000 0.000 7.458" Properties=species:S:1:pos:R:3 pbc="T T T"
Tl 0.740 2.922 0.954
Tl 2.896 8.765 4.683
Tl 4.375 2.922 2.775
Tl 6.531 8.765 6.504
Bi 0.993 6.572 2.574
Bi 0.993 10.959 2.574
Bi 1.330 2.922 4.260
Bi 2.306 8.765 0.531
Bi 2.642 0.728 6.303
Bi 2.642 5.115 6.303
Bi 4.628 6.572 1.155
Bi 4.628 10.959 1.155
Bi 4.965 2.922 6.927
Bi 5.941 8.765 3.198
Bi 6.278 0.728 4.884
Bi 6.278 5.115 4.884
Au 0.000 0.000 0.000
Au 0.000 5.844 0.000
Au 3.635 0.000 3.729
Au 3.635 5.844 3.729
```

=====

Computed, not measured: a relaxed TlBi3Au6 crystal at the PBE level of DFT.

Properties
**V**: 23.37 Å³/atom
**Total moment**: 0.0 μB per formula unit
**Uncorrected energy**: -3.3466 eV/atom
**Fermi-level density of states**: 2.33 states/eV/f.u.

```
20
Lattice="3.657 -7.883 0.000 3.657 7.883 0.000 0.000 0.000 8.106" Properties=species:S:1:pos:R:3 pbc="T T T"
Tl 3.657 4.297 4.053
Tl 3.657 -4.297 0.000
Bi 1.622 1.800 2.558
Bi 1.622 -1.800 6.611
Bi 3.657 0.975 5.479
Bi 3.657 -0.975 1.426
Bi 5.692 1.800 2.558
Bi 5.692 -1.800 6.611
Au 2.218 4.737 1.472
Au 3.657 7.251 1.151
Au 1.612 1.041 7.674
Au 1.612 -1.041 3.621
Au 3.657 3.099 7.732
Au 5.096 4.737 1.472
Au 2.218 -4.737 5.525
Au 3.657 -3.099 3.679
Au 5.702 1.041 7.674
Au 5.702 -1.041 3.621
Au 3.657 -7.251 5.203
Au 5.096 -4.737 5.525
```

=====

Computed, not measured: a relaxed TlBi2Au7 crystal at the PBE level of DFT.

Properties
**V**: 24.27 Å³/atom
**Total moment**: 0.0 μB per formula unit
**Uncorrected energy**: -3.2552 eV/atom
**Fermi-level density of states**: 3.64 states/eV/f.u.

```
10
Lattice="3.563 -8.480 0.000 3.563 8.480 0.000 0.000 0.000 4.017" Properties=species:S:1:pos:R:3 pbc="T T T"
Tl 0.000 0.000 0.000
Bi 3.563 4.062 2.008
Bi 3.563 -4.062 2.008
Au 1.407 1.786 2.008
Au 1.407 -1.786 2.008
Au 3.563 1.988 0.000
Au 3.563 0.000 2.008
Au 3.563 -1.988 0.000
Au 5.718 1.786 2.008
Au 5.718 -1.786 2.008
```

=====

Computed, not measured: a relaxed Tl3BiAu4 crystal at the PBE level of DFT.

Properties
**V**: 27.60 Å³/atom
**Total moment**: 0.0 μB per formula unit
**Uncorrected energy**: -3.0092 eV/atom
**Fermi-level density of states**: 2.82 states/eV/f.u.

```
32
Lattice="11.366 0.000 0.000 0.000 9.823 0.000 0.000 0.000 7.911" Properties=species:S:1:pos:R:3 pbc="T T T"
Tl 1.513 0.211 0.914
Tl 1.513 4.701 0.914
Tl 1.581 7.367 5.653
Tl 4.102 2.456 1.697
Tl 4.171 5.123 4.869
Tl 4.171 9.612 4.869
Tl 7.196 0.211 3.042
Tl 7.196 4.701 3.042
Tl 7.264 7.367 6.213
Tl 9.786 2.456 2.258
Tl 9.854 5.123 6.997
Tl 9.854 9.612 6.997
Bi 1.457 2.456 5.273
Bi 4.226 7.367 1.317
Bi 7.140 2.456 6.594
Bi 9.909 7.367 2.638
Au 0.085 7.367 0.142
Au 1.407 0.034 3.868
Au 1.407 4.878 3.868
Au 1.604 7.367 2.615
Au 4.080 2.456 6.571
Au 4.276 4.946 7.823
Au 4.276 9.789 7.823
Au 5.599 2.456 4.098
Au 5.768 7.367 3.813
Au 7.090 0.034 0.087
Au 7.090 4.878 0.087
Au 7.287 7.367 1.340
Au 9.763 2.456 5.296
Au 9.959 4.946 4.043
Au 9.959 9.789 4.043
Au 11.282 2.456 7.768
```